DFT (GGA-PBE) results for an optimized crystal structure of Sr2NiBr.

## Properties
**Raw formation energy**: -1.92 eV per formula unit
**E_tot**: -3.184 eV/atom
**V**: 277.4 Å³/cell
**Space group**: I-42d
**Energy above the most stable polymorph in this dataset**: 243 meV/atom

Cell lengths 7.8819, 7.8819, 7.1414 Å; angles 56.51, 56.51, 90.00 degrees
Fractional coordinates of all 8 atoms:
Sr1 0.8750 0.8454 0.7500
Sr2 0.1546 0.6250 0.2500
Sr3 0.5954 0.1250 0.2500
Sr4 0.3750 0.4046 0.7500
Ni1 0.5000 0.5000 0.0000
Ni2 0.2500 0.7500 0.5000
Br1 0.0000 0.0000 0.0000
Br2 0.7500 0.2500 0.5000

DFT (GGA-PBE) results for an optimized crystal structure of SrNi2Br.

## Properties
**Raw formation energy**: -0.41 eV per formula unit
**E_tot**: -3.831 eV/atom
**V**: 87.0 Å³/cell
**Space group**: P2/m
**Energy above the most stable polymorph in this dataset**: 138 meV/atom

Cell lengths 4.1491, 4.2245, 4.9625 Å; angles 89.78, 90.00, 90.00 degrees
Fractional coordinates of all 4 atoms:
Br1 0.5000 0.7500 0.7500
Ni1 0.0000 0.7525 0.0110
Ni2 0.0000 0.7475 0.4890
Sr1 0.5000 0.2500 0.2500

DFT (GGA-PBE) results for an optimized crystal structure of Sr2NiBr.

## Properties
**Raw formation energy**: -2.83 eV per formula unit
**E_tot**: -3.413 eV/atom
**V**: 125.4 Å³/cell
**Space group**: R3m
**Energy above the most stable polymorph in this dataset**: 14 meV/atom

Cell lengths 4.2358, 4.2358, 8.4330 Å; angles 75.45, 75.45, 60.00 degrees
Fractional coordinates of all 4 atoms:
Br1 0.4992 0.4992 0.5023
Sr1 0.0696 0.0696 0.7911
Sr2 0.2642 0.2642 0.2073
Ni1 0.6669 0.6669 0.9994

DFT (GGA-PBE) results for an optimized crystal structure of SrNi2Br.

## Properties
**Raw formation energy**: 0.45 eV per formula unit
**E_tot**: -3.616 eV/atom
**V**: 85.8 Å³/cell
**Space group**: R-3m
**Energy above the most stable polymorph in this dataset**: 353 meV/atom

Cell lengths 5.6744, 5.6744, 5.6744 Å; angles 45.87, 45.87, 45.87 degrees
Fractional coordinates of all 4 atoms:
Ni1 0.0631 0.0631 0.0631
Ni2 0.4369 0.4369 0.4369
Sr1 0.2500 0.2500 0.2500
Br1 0.7500 0.7500 0.7500